# MgSc2MoO6 | the Alexandria database | PBE+U | relaxed
data_MgSc2MoO6
_chemical_formula_sum 'Mg1 Sc2 Mo1 O6'
_cell_length_a 5.309
_cell_length_b 5.311
_cell_length_c 5.647
_cell_angle_alpha 117.36
_cell_angle_beta 90.31
_cell_angle_gamma 119.54
_space_group_name_H-M_alt 'P 1'
_space_group_IT_number 1
loop_
_space_group_symop_operation_xyz
'x,y,z'
loop_
_atom_site_label
_atom_site_type_symbol
_atom_site_fract_x
_atom_site_fract_y
_atom_site_fract_z
Mg1 Mg 0.000 0.000 0.000
Sc1 Sc 0.205 0.423 0.632
Sc2 Sc 0.715 0.425 0.139
Mo1 Mo 0.507 0.012 0.520
O1 O 0.107 0.505 0.311
O2 O 0.301 0.197 0.806
O3 O 0.400 0.193 0.316
O4 O 0.601 0.908 0.811
O5 O 0.787 0.904 0.319
O6 O 0.901 0.511 0.817
# - Total energy: -7.906 eV/atom

# Mg2SiMoO6 | the Alexandria database | PBE+U | relaxed
data_Mg2SiMoO6
_chemical_formula_sum 'Mg2 Si1 Mo1 O6'
_cell_length_a 5.080
_cell_length_b 5.080
_cell_length_c 4.773
_cell_angle_alpha 90.00
_cell_angle_beta 90.00
_cell_angle_gamma 90.00
_space_group_name_H-M_alt 'P 4 m m'
_space_group_IT_number 99
loop_
_space_group_symop_operation_xyz
'x,y,z'
'-y,x,z'
'-x,-y,z'
'y,-x,z'
'-x,y,z'
'y,x,z'
'x,-y,z'
'-y,-x,z'
loop_
_atom_site_label
_atom_site_type_symbol
_atom_site_fract_x
_atom_site_fract_y
_atom_site_fract_z
Mg1 Mg 0.000 0.500 0.000
Si1 Si 0.000 0.000 0.674
Mo1 Mo 0.500 0.500 0.612
O1 O 0.000 0.000 0.333
O2 O 0.237 0.237 0.800
O3 O 0.500 0.500 0.242
# - Total energy: -6.595 eV/atom

# Mg3Si3Mo2O12 | the Alexandria database | PBE+U | relaxed
data_Mg3Si3Mo2O12
_chemical_formula_sum 'Mg24 Si24 Mo16 O96'
_cell_length_a 12.053
_cell_length_b 12.053
_cell_length_c 12.053
_cell_angle_alpha 90.00
_cell_angle_beta 90.00
_cell_angle_gamma 90.00
_space_group_name_H-M_alt 'I a -3 d'
_space_group_IT_number 230
_space_group_name_Hall '-I 4bd 2c 3'
loop_
_atom_site_label
_atom_site_type_symbol
_atom_site_fract_x
_atom_site_fract_y
_atom_site_fract_z
Mg1 Mg 0.000 0.250 0.125
Si1 Si 0.000 0.250 0.375
Mo1 Mo 0.000 0.000 0.000
O1 O 0.036 0.058 0.663
# - Total energy: -7.169 eV/atom

# Sm4MgMo4O14 | the Alexandria database | PBE+U | relaxed
data_Sm4MgMo4O14
_chemical_formula_sum 'Sm8 Mg2 Mo8 O28'
_cell_length_a 7.552
_cell_length_b 7.630
_cell_length_c 10.774
_cell_angle_alpha 90.00
_cell_angle_beta 90.00
_cell_angle_gamma 90.00
_space_group_name_H-M_alt 'I m m 2'
_space_group_IT_number 44
loop_
_space_group_symop_operation_xyz
'x,y,z'
'-x,-y,z'
'-x,y,z'
'x,-y,z'
'x+1/2,y+1/2,z+1/2'
'-x+1/2,-y+1/2,z+1/2'
'-x+1/2,y+1/2,z+1/2'
'x+1/2,-y+1/2,z+1/2'
loop_
_atom_site_label
_atom_site_type_symbol
_atom_site_fract_x
_atom_site_fract_y
_atom_site_fract_z
Sm1 Sm 0.000 0.247 0.000
Sm2 Sm 0.245 0.000 0.252
Mg1 Mg 0.000 0.500 0.365
Mo1 Mo 0.000 0.236 0.506
Mo2 Mo 0.228 0.000 0.738
O1 O 0.000 0.000 0.126
O2 O 0.000 0.000 0.409
O3 O 0.000 0.000 0.852
O4 O 0.000 0.500 0.161
O5 O 0.000 0.500 0.564
O6 O 0.000 0.500 0.874
O7 O 0.196 0.291 0.370
O8 O 0.206 0.221 0.623
# - Total energy: -7.558 eV/atom

# MgSnMoO6 | the Alexandria database | PBE+U | relaxed
data_MgSnMoO6
_chemical_formula_sum 'Mg2 Sn2 Mo2 O12'
_cell_length_a 4.785
_cell_length_b 4.785
_cell_length_c 9.318
_cell_angle_alpha 90.00
_cell_angle_beta 90.00
_cell_angle_gamma 90.00
_space_group_name_H-M_alt 'P 42 n m'
_space_group_IT_number 102
loop_
_space_group_symop_operation_xyz
'x,y,z'
'-y+1/2,x+1/2,z+1/2'
'-x,-y,z'
'y+1/2,-x+1/2,z+1/2'
'-x+1/2,y+1/2,z+1/2'
'y,x,z'
'x+1/2,-y+1/2,z+1/2'
'-y,-x,z'
loop_
_atom_site_label
_atom_site_type_symbol
_atom_site_fract_x
_atom_site_fract_y
_atom_site_fract_z
Mg1 Mg 0.000 0.000 0.000
Sn1 Sn 0.000 0.000 0.329
Mo1 Mo 0.000 0.000 0.668
O1 O 0.189 0.189 0.508
O2 O 0.193 0.193 0.819
O3 O 0.209 0.209 0.167
# - Total energy: -6.536 eV/atom

# Mg2SnMoO | the Alexandria database | PBE+U | relaxed
data_Mg2SnMoO
_chemical_formula_sum 'Mg2 Sn1 Mo1 O1'
_cell_length_a 5.448
_cell_length_b 5.448
_cell_length_c 5.306
_cell_angle_alpha 90.00
_cell_angle_beta 90.00
_cell_angle_gamma 90.00
_space_group_name_H-M_alt 'P 4/m m m'
_space_group_IT_number 123
_space_group_name_Hall '-P 4 2'
loop_
_atom_site_label
_atom_site_type_symbol
_atom_site_fract_x
_atom_site_fract_y
_atom_site_fract_z
Mg1 Mg 0.000 0.500 0.000
Sn1 Sn 0.000 0.000 0.500
Mo1 Mo 0.000 0.000 0.000
O1 O 0.500 0.500 0.500
# - Total energy: -2.747 eV/atom

# SrMgMo2O8 | the Alexandria database | PBE+U | relaxed
data_SrMgMo2O8
_chemical_formula_sum 'Sr2 Mg2 Mo4 O16'
_cell_length_a 7.410
_cell_length_b 7.410
_cell_length_c 6.712
_cell_angle_alpha 90.00
_cell_angle_beta 90.00
_cell_angle_gamma 90.00
_space_group_name_H-M_alt 'I -4 m 2'
_space_group_IT_number 119
_space_group_name_Hall 'I -4 -2'
loop_
_atom_site_label
_atom_site_type_symbol
_atom_site_fract_x
_atom_site_fract_y
_atom_site_fract_z
Sr1 Sr 0.000 0.000 0.000
Mg1 Mg 0.000 0.500 0.750
Mo1 Mo 0.000 0.000 0.500
Mo2 Mo 0.000 0.500 0.250
O1 O 0.000 0.197 0.659
O2 O 0.000 0.316 0.078
# - Total energy: -6.797 eV/atom

# Sr3MgMo2O9 | the Alexandria database | PBE+U | relaxed
data_Sr3MgMo2O9
_chemical_formula_sum 'Sr3 Mg1 Mo2 O9'
_cell_length_a 5.7360
_cell_length_b 5.7360
_cell_length_c 6.9007
_cell_angle_alpha 90.00
_cell_angle_beta 90.00
_cell_angle_gamma 120.00
_space_group_name_H-M_alt 'P -3 m 1'
_space_group_IT_number 164
_space_group_name_Hall '-P 3 2"'
loop_
_atom_site_label
_atom_site_type_symbol
_atom_site_fract_x
_atom_site_fract_y
_atom_site_fract_z
Sr1 Sr 0.0000 0.0000 0.0000
Sr2 Sr 0.3333 0.6667 0.6669
Mg1 Mg 0.0000 0.0000 0.5000
Mo1 Mo 0.3333 0.6667 0.1775
O1 O 0.0000 0.5000 0.0000
O2 O 0.1685 0.3371 0.3258
# - Total energy: -6.771 eV/atom

# Sr10Mg5Mo3W2O30 | the Alexandria database | PBE+U | relaxed
data_Sr10Mg5Mo3W2O30
_chemical_formula_sum 'Sr10 Mg5 Mo3 W2 O30'
_cell_length_a 5.664
_cell_length_b 5.671
_cell_length_c 20.387
_cell_angle_alpha 82.20
_cell_angle_beta 82.14
_cell_angle_gamma 89.59
_space_group_name_H-M_alt 'P -1'
_space_group_IT_number 2
loop_
_space_group_symop_operation_xyz
'x,y,z'
'-x,-y,-z'
loop_
_atom_site_label
_atom_site_type_symbol
_atom_site_fract_x
_atom_site_fract_y
_atom_site_fract_z
Sr1 Sr 0.048 0.049 0.401
Sr2 Sr 0.151 0.151 0.200
Sr3 Sr 0.248 0.248 0.001
Sr4 Sr 0.352 0.352 0.798
Sr5 Sr 0.448 0.448 0.601
Mg1 Mg 0.000 0.500 0.500
Mg2 Mg 0.200 0.700 0.100
Mg3 Mg 0.400 0.900 0.700
Mo1 Mo 0.100 0.600 0.300
Mo2 Mo 0.500 0.000 0.500
W1 W 0.300 0.800 0.900
O1 O 0.017 0.587 0.397
O2 O 0.034 0.583 0.899
O3 O 0.089 0.071 0.886
O4 O 0.115 0.134 0.713
O5 O 0.162 0.621 0.700
O6 O 0.182 0.613 0.204
O7 O 0.218 0.787 0.996
O8 O 0.236 0.781 0.499
O9 O 0.287 0.268 0.487
O10 O 0.315 0.333 0.314
O11 O 0.362 0.821 0.301
O12 O 0.383 0.813 0.803
O13 O 0.418 0.987 0.596
O14 O 0.434 0.983 0.100
O15 O 0.488 0.470 0.087
# - Total energy: -6.768 eV/atom

# Mg2TaMoO6 | the Alexandria database | PBE+U | relaxed
data_Mg2TaMoO6
_chemical_formula_sum 'Mg6 Ta3 Mo3 O18'
_cell_length_a 5.2881
_cell_length_b 5.2881
_cell_length_c 14.2825
_cell_angle_alpha 90.00
_cell_angle_beta 90.00
_cell_angle_gamma 120.00
_space_group_name_H-M_alt 'R 3'
_space_group_IT_number 146
_space_group_name_Hall 'R 3'
loop_
_atom_site_label
_atom_site_type_symbol
_atom_site_fract_x
_atom_site_fract_y
_atom_site_fract_z
Mg1 Mg 0.0000 0.0000 0.0000
Mg2 Mg 0.0000 0.0000 0.4962
Ta1 Ta 0.0000 0.0000 0.2912
Mo1 Mo 0.0000 0.0000 0.7916
O1 O 0.0021 0.7076 0.3850
O2 O 0.0053 0.3609 0.5568
# - ΔE to the lowest computed polymorph: 0.00 eV per formula unit

# Mg2TaMoO6 | the Alexandria database | PBE+U | relaxed
data_Mg2TaMoO6
_chemical_formula_sum 'Mg4 Ta2 Mo2 O12'
_cell_length_a 5.361
_cell_length_b 7.749
_cell_length_c 5.453
_cell_angle_alpha 90.00
_cell_angle_beta 91.35
_cell_angle_gamma 90.00
_space_group_name_H-M_alt 'P 1 21/m 1'
_space_group_IT_number 11
loop_
_space_group_symop_operation_xyz
'x,y,z'
'-x,-y,-z'
'-x,y+1/2,-z'
'x,-y+1/2,z'
loop_
_atom_site_label
_atom_site_type_symbol
_atom_site_fract_x
_atom_site_fract_y
_atom_site_fract_z
Mg1 Mg 0.005 0.250 0.044
Mg2 Mg 0.488 0.250 0.532
Ta1 Ta 0.500 0.000 0.000
Mo1 Mo 0.000 0.000 0.500
O1 O 0.134 0.250 0.404
O2 O 0.186 0.567 0.163
O3 O 0.346 0.568 0.684
O4 O 0.373 0.250 0.925
# - ΔE to the lowest computed polymorph: 0.59 eV per formula unit

# MgTcMoO2 | the Alexandria database | PBE+U | relaxed
data_MgTcMoO2
_chemical_formula_sum 'Mg1 Tc1 Mo1 O2'
_cell_length_a 3.862
_cell_length_b 3.862
_cell_length_c 5.526
_cell_angle_alpha 90.00
_cell_angle_beta 90.00
_cell_angle_gamma 90.00
_space_group_name_H-M_alt 'P 4/m m m'
_space_group_IT_number 123
_space_group_name_Hall '-P 4 2'
loop_
_atom_site_label
_atom_site_type_symbol
_atom_site_fract_x
_atom_site_fract_y
_atom_site_fract_z
Mg1 Mg 0.000 0.000 0.000
Tc1 Tc 0.500 0.500 0.500
Mo1 Mo 0.000 0.000 0.500
O1 O 0.000 0.500 0.000
# - Total energy: -5.300 eV/atom

# Mg2TiMoO6 | the Alexandria database | PBE+U | relaxed
data_Mg2TiMoO6
_chemical_formula_sum 'Mg2 Ti1 Mo1 O6'
_cell_length_a 5.396
_cell_length_b 5.396
_cell_length_c 4.856
_cell_angle_alpha 90.00
_cell_angle_beta 90.00
_cell_angle_gamma 90.00
_space_group_name_H-M_alt 'P 4 m m'
_space_group_IT_number 99
loop_
_space_group_symop_operation_xyz
'x,y,z'
'-y,x,z'
'-x,-y,z'
'y,-x,z'
'-x,y,z'
'y,x,z'
'x,-y,z'
'-y,-x,z'
loop_
_atom_site_label
_atom_site_type_symbol
_atom_site_fract_x
_atom_site_fract_y
_atom_site_fract_z
Mg1 Mg 0.000 0.500 0.000
Ti1 Ti 0.000 0.000 0.725
Mo1 Mo 0.500 0.500 0.684
O1 O 0.000 0.000 0.373
O2 O 0.248 0.248 0.857
O3 O 0.500 0.500 0.323
# - Total energy: -7.021 eV/atom

# MgTiMoO6 | the Alexandria database | PBE+U | relaxed
data_MgTiMoO6
_chemical_formula_sum 'Mg2 Ti2 Mo2 O12'
_cell_length_a 4.714
_cell_length_b 4.714
_cell_length_c 9.024
_cell_angle_alpha 90.00
_cell_angle_beta 90.00
_cell_angle_gamma 90.00
_space_group_name_H-M_alt 'P 42 n m'
_space_group_IT_number 102
loop_
_space_group_symop_operation_xyz
'x,y,z'
'-y+1/2,x+1/2,z+1/2'
'-x,-y,z'
'y+1/2,-x+1/2,z+1/2'
'-x+1/2,y+1/2,z+1/2'
'y,x,z'
'x+1/2,-y+1/2,z+1/2'
'-y,-x,z'
loop_
_atom_site_label
_atom_site_type_symbol
_atom_site_fract_x
_atom_site_fract_y
_atom_site_fract_z
Mg1 Mg 0.000 0.000 0.000
Ti1 Ti 0.000 0.000 0.329
Mo1 Mo 0.000 0.000 0.666
O1 O 0.188 0.188 0.501
O2 O 0.202 0.202 0.819
O3 O 0.205 0.205 0.175
# - Total energy: -7.450 eV/atom